(1)
CrPb3O: optimized geometry, GGA+U.

a = 5.2149 Å, b = 5.2149 Å, c = 5.2149 Å
α = 90.00°, β = 90.00°, γ = 90.00°
Closest atoms and distances in Å follow each position.
Fractional coordinates of all 5 atoms:
1 Pb 0.5000 0.0000 0.0000  2 Cr 2.61
2 Pb 0.0000 0.0000 0.5000  2 Cr 2.61
3 Pb 0.0000 0.5000 0.0000  2 Cr 2.61
4 Cr 0.0000 0.0000 0.0000  6 Pb 2.61
5 O 0.5000 0.5000 0.5000  12 Pb 3.69

Summary:
As for the energy: -19.54 eV/f.u. The density of states at the Fermi level comes out at 4.7 states/eV/cell.



(2)
Pm2CrPbO6: optimized geometry, GGA+U.

a = 5.2661 Å, b = 5.4832 Å, c = 5.4832 Å
α = 90.00°, β = 90.00°, γ = 90.00°
Closest atoms and distances in Å follow each position.
Fractional coordinates of all 10 atoms:
1 O 0.7390 0.2367 0.2367  1 Cr 1.96
2 O 0.2447 0.0000 0.0000  1 Cr 1.93
3 O 0.1178 0.5000 0.5000  1 Pb 2.23
4 O 0.7390 0.7633 0.7633  1 Cr 1.96
5 O 0.7390 0.2367 0.7633  1 Cr 1.96
6 O 0.7390 0.7633 0.2367  1 Cr 1.96
7 Pm 0.9878 0.0000 0.5000  4 O 2.34
8 Pm 0.9878 0.5000 0.0000  4 O 2.34
9 Cr 0.6106 0.0000 0.0000  5 O 1.93-1.96
10 Pb 0.5421 0.5000 0.5000  5 O 2.23-2.29

Summary:
As for the energy: -72.10 eV/f.u. The density of states at the Fermi level comes out at 1.0 states/eV/cell.



(3)
PmCr2PbO8: optimized geometry, GGA+U.

a = 5.7874 Å, b = 5.7874 Å, c = 7.2515 Å
α = 90.00°, β = 90.00°, γ = 120.00°
Closest atoms and distances in Å follow each position.
Fractional coordinates of all 12 atoms:
1 O 0.6581 0.8284 0.7190  1 Cr 1.72
2 O 0.8297 0.6581 0.2810  1 Cr 1.72
3 O 0.8284 0.1703 0.2810  1 Cr 1.72
4 O 0.1716 0.8297 0.7190  1 Cr 1.72
5 O 0.3419 0.1716 0.2810  1 Cr 1.72
6 O 0.3333 0.6667 0.0193  1 Cr 1.64
7 O 0.1703 0.3419 0.7190  1 Cr 1.72
8 O 0.6667 0.3333 0.9807  1 Cr 1.64
9 Pm 0.0000 0.0000 0.5000  6 O 2.34
10 Cr 0.6667 0.3333 0.2063  4 O 1.64-1.72
11 Cr 0.3333 0.6667 0.7937  4 O 1.64-1.72
12 Pb 0.0000 0.0000 0.0000  6 O 2.66

Summary:
As for the energy: -83.30 eV/f.u. The density of states at the Fermi level comes out at 5.5 states/eV/cell.



> The lowest energy belongs to which entry?

PmCr2PbO8